(1)
DFT (SCAN) results for a crystal of Cr2CuHg relaxed with PBEsol.

Properties
**Total moment**: 0.0 μB per formula unit
**DOS at the Fermi energy**: 2.76 states/eV per cell
**DFT formation energy**: 546 meV/atom
**DFT total energy**: -29.49 eV/atom

Unit cell a=2.9315 b=4.3220 c=4.7975 alpha=104.35 beta=107.79 gamma=90.00
Positions (direct):
Cr (0.2420, 0.1715, 0.4840)
Cr (0.7580, 0.8285, 0.5160)
Hg (0.0000, 0.5000, 0.0000)
Cu (0.5000, 0.0000, 0.0000)



(2)
DFT (SCAN) results for a crystal of CrCu2Hg relaxed with PBEsol.

Properties
**Total moment**: 3.7 μB per formula unit
**DOS at the Fermi energy**: 1.92 states/eV per cell
**DFT formation energy**: 237 meV/atom
**DFT total energy**: -29.00 eV/atom

Unit cell a=2.9369 b=4.5841 c=4.6376 alpha=101.94 beta=90.00 gamma=108.68
Each line ends with the local moment (μB).
Positions (direct):
Cr (0.5000, 0.0000, 0.0000)  3.50
Cu (0.2440, 0.4880, 0.2235)  0.07
Cu (0.7560, 0.5120, 0.7765)  0.07
Hg (0.0000, 0.0000, 0.5000)  -0.01



(3)
DFT (SCAN) results for a crystal of Mn2CrCuHg relaxed with PBEsol.

Properties
**Total moment**: 13.5 μB per formula unit
**DOS at the Fermi energy**: 2.72 states/eV per cell
**DFT formation energy**: 1104 meV/atom
**DFT total energy**: -26.55 eV/atom

Unit cell a=4.9067 b=4.9067 c=4.9985 alpha=90.00 beta=90.00 gamma=90.00
Each line ends with the local moment (μB).
Positions (direct):
Mn (0.5000, 0.0000, 0.0000)  4.31
Mn (0.0000, 0.5000, 0.0000)  4.31
Hg (0.0000, 0.0000, 0.0000)  0.04
Cr (0.0000, 0.0000, 0.5000)  3.99
Cu (0.5000, 0.5000, 0.5000)  0.00